The following is a DFT calculation (GGA-PBE) of crystalline SrTh2Zn6 at its relaxed geometry.

Values from the calculation:
The volume comes out at 201 Å³/cell. Its formation energy is -0.237 eV/atom.

Geometry as POSCAR:
```
SrTh2Zn6
1.0
3.608 0.098 -0.151
-0.354 6.964 -3.951
0.336 -0.052 8.007
Zn Th Sr
6 2 1
Direct
0.500 0.663 0.663
0.500 0.337 0.337
0.500 0.663 0.000
0.500 0.000 0.663
0.500 0.000 0.337
0.500 0.337 0.000
0.000 0.333 0.667
0.000 0.667 0.333
0.000 0.000 0.000
```


The following is a DFT calculation (GGA-PBE) of crystalline SrThZn17 at its relaxed geometry.

Values from the calculation:
The volume comes out at 320 Å³/cell. Its formation energy is -0.195 eV/atom.

Geometry as POSCAR:
```
SrThZn17
1.0
6.839 0.025 0.835
0.742 6.798 0.835
0.028 0.025 6.889
Zn Th Sr
17 1 1
Direct
0.352 0.352 0.836
0.157 0.651 0.651
0.000 0.500 0.000
0.709 0.000 0.292
0.900 0.900 0.900
0.836 0.352 0.352
0.000 0.292 0.709
0.292 0.709 0.000
0.500 0.000 0.000
0.000 0.709 0.292
0.709 0.292 0.000
0.651 0.651 0.157
0.000 0.000 0.500
0.651 0.157 0.651
0.352 0.836 0.352
0.292 0.000 0.709
0.097 0.097 0.097
0.664 0.664 0.664
0.338 0.338 0.338
```


The following is a DFT calculation (GGA-PBE) of crystalline SrTi at its relaxed geometry.

Values from the calculation:
For the distance to the lowest polymorph of the same formula, the calculation gives 1658.3 meV per atom. The volume comes out at 472 Å³/cell. Its formation energy is 2.070 eV/atom.

Geometry as POSCAR:
```
SrTi
1.0
7.786 0.000 0.000
0.000 7.786 0.000
0.000 0.000 7.786
Sr Ti
4 4
Direct
0.500 0.000 0.500
0.000 0.000 0.000
0.500 0.500 0.000
0.000 0.500 0.500
0.250 0.250 0.250
0.750 0.250 0.750
0.750 0.750 0.250
0.250 0.750 0.750
```


The following is a DFT calculation (GGA-PBE) of crystalline SrTi at its relaxed geometry.

Values from the calculation:
For the distance to the lowest polymorph of the same formula, the calculation gives 415.4 meV per atom. The volume comes out at 455 Å³/cell. Its formation energy is 0.827 eV/atom.

Geometry as POSCAR:
```
SrTi
1.0
-10.512 1.180 -2.848
3.444 -9.393 4.463
-0.906 1.565 3.992
Sr Ti
6 6
Direct
0.813 0.187 0.250
0.373 0.187 0.250
0.813 0.627 0.250
0.187 0.373 0.750
0.627 0.813 0.750
0.187 0.813 0.750
0.533 0.066 0.750
0.066 0.533 0.250
0.934 0.467 0.750
0.467 0.533 0.250
0.467 0.934 0.250
0.533 0.467 0.750
```


The following is a DFT calculation (GGA-PBE) of crystalline SrTi at its relaxed geometry.

Values from the calculation:
For the distance to the lowest polymorph of the same formula, the calculation gives 322.6 meV per atom. The volume comes out at 1042 Å³/cell. Its formation energy is 0.734 eV/atom.

Geometry as POSCAR:
```
SrTi
1.0
10.334 0.000 0.000
0.000 16.079 0.000
0.000 0.000 6.271
Ti Sr
16 16
Direct
0.000 0.067 0.000
0.000 0.567 0.500
0.500 0.567 0.000
0.000 0.433 0.500
0.250 0.817 0.250
0.750 0.317 0.250
0.750 0.817 0.750
0.750 0.683 0.750
0.500 0.433 0.000
0.000 0.933 0.000
0.750 0.183 0.250
0.250 0.183 0.750
0.500 0.067 0.500
0.250 0.317 0.750
0.500 0.933 0.500
0.250 0.683 0.250
0.084 0.750 0.750
0.166 0.000 0.500
0.084 0.250 0.250
0.334 0.500 0.500
0.916 0.750 0.250
0.416 0.250 0.250
0.834 0.000 0.500
0.584 0.750 0.250
0.666 0.500 0.500
0.666 0.000 0.000
0.834 0.500 0.000
0.916 0.250 0.750
0.166 0.500 0.000
0.416 0.750 0.750
0.334 0.000 0.000
0.584 0.250 0.750
```


The following is a DFT calculation (GGA-PBE) of crystalline SrTi at its relaxed geometry.

Values from the calculation:
For the distance to the lowest polymorph of the same formula, the calculation gives 48.9 meV per atom. The volume comes out at 543 Å³/cell. Its formation energy is 0.461 eV/atom.

Geometry as POSCAR:
```
SrTi
1.0
-11.732 -3.011 -1.644
-1.581 -0.450 12.112
-0.904 3.517 0.013
Ti Sr
8 8
Direct
0.907 0.569 0.500
0.569 0.093 0.500
0.069 0.593 0.000
0.931 0.407 0.000
0.431 0.907 0.500
0.593 0.931 0.000
0.407 0.069 0.000
0.093 0.431 0.500
0.818 0.118 0.000
0.382 0.318 0.500
0.118 0.182 0.000
0.182 0.882 0.000
0.618 0.682 0.500
0.318 0.618 0.500
0.882 0.818 0.000
0.682 0.382 0.500
```